(1)
Here is Ba5La2Cl16 at its PBEsol-relaxed geometry from Alexandria. Energies are from SCAN. Values from VASP.

```
&SYSTEM
  ibrav = 0, nat = 46, ntyp = 3
/
ATOMIC_SPECIES
Ba 137.33 Ba.upf
La 138.91 La.upf
Cl 35.45 Cl.upf
CELL_PARAMETERS angstrom
4.743 -8.160 0.000
4.743 8.160 0.000
0.000 0.000 18.669
ATOMIC_POSITIONS angstrom
Ba 2.372 0.000 1.820
Ba 2.372 0.000 11.154
Ba 4.743 4.080 4.667
Ba 4.743 4.080 9.970
Ba 4.743 4.080 18.033
Ba 4.743 -4.080 0.636
Ba 4.743 -4.080 8.699
Ba 4.743 -4.080 14.002
Ba 7.115 0.000 7.515
Ba 7.115 0.000 16.849
La 2.372 0.000 6.602
La 2.372 0.000 15.937
La 7.115 0.000 2.732
La 7.115 0.000 12.067
Cl 2.901 4.799 7.623
Cl 0.967 1.296 17.921
Cl 1.698 1.573 13.810
Cl 4.573 6.497 11.961
Cl 2.901 3.362 1.712
Cl 4.913 6.497 16.042
Cl 0.967 -1.296 8.586
Cl 3.045 1.573 4.476
Cl 1.698 -1.573 4.476
Cl 3.776 1.296 8.586
Cl 4.573 1.663 16.042
Cl 6.586 4.799 1.712
Cl 4.913 1.663 11.961
Cl 3.045 -1.573 13.810
Cl 3.776 -1.296 17.921
Cl 6.586 3.362 7.623
Cl 2.901 -3.362 11.046
Cl 5.711 1.296 0.748
Cl 6.442 1.573 4.859
Cl 4.573 -1.663 6.708
Cl 2.901 -4.799 16.957
Cl 4.913 -1.663 2.627
Cl 5.711 -1.296 10.083
Cl 7.789 1.573 14.193
Cl 6.442 -1.573 14.193
Cl 8.519 1.296 10.083
Cl 4.573 -6.497 2.627
Cl 6.586 -3.362 16.957
Cl 4.913 -6.497 6.708
Cl 7.789 -1.573 4.859
Cl 8.519 -1.296 0.748
Cl 6.586 -4.799 11.046
```

Values from the calculation:
Spin magnetization in μB per formula unit: 0.0
Formation energy (no corrections) in eV per formula unit: -62.50
DOS at the Fermi energy in states/eV per cell: 0.000
Energy in eV/atom: -20.613
Density in Mg/m³: 3.5

(2)
Here is BaLaCl3 at its PBEsol-relaxed geometry from Alexandria. Energies are from SCAN. Values from VASP.

```
&SYSTEM
  ibrav = 0, nat = 5, ntyp = 3
/
ATOMIC_SPECIES
Ba 137.33 Ba.upf
La 138.91 La.upf
Cl 35.45 Cl.upf
CELL_PARAMETERS angstrom
5.507 0.000 0.000
0.000 5.507 0.000
0.000 0.000 5.507
ATOMIC_POSITIONS angstrom
Ba 0.000 0.000 0.000
La 2.753 2.753 2.753
Cl 0.000 2.753 2.753
Cl 2.753 0.000 2.753
Cl 2.753 2.753 0.000
```

Values from the calculation:
Spin magnetization in μB per formula unit: 0.0
Formation energy (no corrections) in eV per formula unit: -9.44
DOS at the Fermi energy in states/eV per cell: 4.797
Energy in eV/atom: -23.206
Density in Mg/m³: 3.8

(3)
Here is Ba2LaCl7 at its PBEsol-relaxed geometry from Alexandria. Energies are from SCAN. Values from VASP.

```
&SYSTEM
  ibrav = 0, nat = 20, ntyp = 3
/
ATOMIC_SPECIES
Ba 137.33 Ba.upf
La 138.91 La.upf
Cl 35.45 Cl.upf
CELL_PARAMETERS angstrom
8.096 -3.999 0.000
8.096 3.999 0.000
-5.509 0.000 8.289
ATOMIC_POSITIONS angstrom
Ba 1.496 0.032 2.374
Ba -1.258 -0.032 6.518
Ba 11.941 0.032 1.770
Ba 9.186 -0.032 5.915
La 6.719 0.080 2.072
La 3.964 -0.080 6.216
Cl 3.043 2.017 4.381
Cl 6.719 3.000 2.072
Cl 4.155 0.954 1.166
Cl 1.614 1.232 7.609
Cl 4.885 2.017 8.051
Cl 1.401 -0.954 5.311
Cl 6.314 1.232 4.823
Cl 4.368 -1.232 3.465
Cl 9.282 0.954 2.978
Cl 5.798 -2.017 0.237
Cl 9.069 -1.232 0.679
Cl 6.527 -0.954 7.122
Cl 3.964 -3.000 6.216
Cl 7.640 -2.017 3.907
```

Values from the calculation:
Spin magnetization in μB per formula unit: 0.0
Formation energy (no corrections) in eV per formula unit: -27.69
DOS at the Fermi energy in states/eV per cell: 0.000
Energy in eV/atom: -20.574
Density in Mg/m³: 4.1

These records have V values of 31.4, 33.4, 26.8 Å³ per atom, in the order they appear.